(1)
Compound: La3Ce2Tl3
Source: Alexandria via LeMat-Bulk
Functional: GGA-PBE
Structure: relaxed

abc: 11.0484 11.0484 11.0484
angles: 156.03 153.36 36.14
Last column: nearest neighbours and their distance in Å.
Element x y z (fractional)
La  0.0000  0.0000  0.0000  8 Tl 3.43-3.59, 4 La 3.64
La  0.3764  0.8764  0.5000  6 Tl 3.43-3.47, 4 Ce 3.58-3.61, 2 La 3.64
La  0.6236  0.1236  0.5000  6 Tl 3.43-3.47, 4 Ce 3.58-3.61, 2 La 3.64
Ce  0.2455  0.2455  0.0000  4 Tl 3.32-3.63, 4 Ce 3.43, 4 La 3.58-3.61
Ce  0.7545  0.7545  0.0000  4 Tl 3.32-3.63, 4 Ce 3.43, 4 La 3.58-3.61
Tl  0.1312  0.6312  0.5000  4 Ce 3.32-3.63, 6 La 3.43-3.59
Tl  0.5000  0.5000  0.0000  8 La 3.43-3.47, 4 Tl 3.75
Tl  0.8688  0.3688  0.5000  4 Ce 3.32-3.63, 6 La 3.43-3.59

## Properties
The value obtained for the density of states at the Fermi level is 2.010 states/eV/atom. The energy comes out at -35.8 eV per cell. The space group is Immm (71).

(2)
Compound: La5CeTl4
Source: Alexandria via LeMat-Bulk
Functional: GGA-PBE
Structure: relaxed

abc: 3.7208 3.7208 22.7450
angles: 90.00 90.00 90.00
Last column: nearest neighbours and their distance in Å.
Element x y z (fractional)
La  0.0000  0.0000  0.0000  8 Tl 3.47, 4 La 3.72
La  0.0000  0.0000  0.1987  8 Tl 3.47, 4 La 3.72
La  0.0000  0.0000  0.3962  4 Tl 3.45, 4 Ce 3.54, 4 La 3.72
La  0.0000  0.0000  0.6038  4 Tl 3.45, 4 Ce 3.54, 4 La 3.72
La  0.0000  0.0000  0.8013  8 Tl 3.47, 4 La 3.72
Ce  0.5000  0.5000  0.5000  8 La 3.54, 4 Ce 3.72
Tl  0.5000  0.5000  0.0995  8 La 3.47, 4 Tl 3.72
Tl  0.5000  0.5000  0.2982  8 La 3.45-3.47, 4 Tl 3.72
Tl  0.5000  0.5000  0.7018  8 La 3.45-3.47, 4 Tl 3.72
Tl  0.5000  0.5000  0.9005  8 La 3.47, 4 Tl 3.72

## Properties
The value obtained for the density of states at the Fermi level is 0.995 states/eV/atom. The energy comes out at -43.2 eV per cell. The space group is P4/mmm (123).

(3)
Compound: LaCe2Tl
Source: Alexandria via LeMat-Bulk
Functional: GGA-PBE
Structure: relaxed

abc: 4.8582 4.8582 5.0420
angles: 90.00 90.00 90.00
Last column: nearest neighbours and their distance in Å.
Element x y z (fractional)
La  0.0000  0.0000  0.0000  4 Tl 3.44, 8 Ce 3.50
Ce  0.0000  0.5000  0.5000  4 Ce 3.44, 4 Tl 3.50, 4 La 3.50
Ce  0.5000  0.0000  0.5000  4 Ce 3.44, 4 Tl 3.50, 4 La 3.50
Tl  0.5000  0.5000  0.0000  4 La 3.44, 8 Ce 3.50

## Properties
The calculation puts the energy above the most stable polymorph in this dataset at 0.0412 eV/atom. The value obtained for the density of states at the Fermi level is 2.938 states/eV/atom. The energy comes out at -19.7 eV per cell. The space group is P4/mmm (123).

(4)
Compound: LaCe3Tl4
Source: Alexandria via LeMat-Bulk
Functional: GGA-PBE
Structure: relaxed

abc: 4.6499 5.0086 10.0254
angles: 90.00 90.00 90.00
Last column: nearest neighbours and their distance in Å.
Element x y z (fractional)
La  0.0000  0.0000  0.0000  8 Tl 3.42-3.45, 4 Ce 3.60
Ce  0.0000  0.0000  0.5000  8 Tl 3.39-3.42, 4 Ce 3.49
Ce  0.0000  0.5000  0.2576  8 Tl 3.36-3.48, 2 Ce 3.49, 2 La 3.60
Ce  0.0000  0.5000  0.7424  8 Tl 3.36-3.48, 2 Ce 3.49, 2 La 3.60
Tl  0.5000  0.0000  0.2536  6 Ce 3.39-3.42, 2 La 3.45, 4 Tl 3.52-3.57
Tl  0.5000  0.0000  0.7464  6 Ce 3.39-3.42, 2 La 3.45, 4 Tl 3.52-3.57
Tl  0.5000  0.5000  0.0000  4 La 3.42, 4 Ce 3.48, 4 Tl 3.57
Tl  0.5000  0.5000  0.5000  8 Ce 3.36-3.42, 4 Tl 3.52

## Properties
The value obtained for the density of states at the Fermi level is 2.764 states/eV/atom. The energy comes out at -34.4 eV per cell. The space group is Pmmm (47).

(5)
Compound: LaCe2Tl
Source: Alexandria via LeMat-Bulk
Functional: GGA-PBE
Structure: relaxed

abc: 5.5078 5.5078 5.5078
angles: 60.00 60.00 60.00
Last column: nearest neighbours and their distance in Å.
Element x y z (fractional)
La  0.0000  0.0000  0.0000  8 Ce 3.37
Ce  0.2500  0.2500  0.2500  4 Tl 3.37, 4 La 3.37
Ce  0.7500  0.7500  0.7500  4 Tl 3.37, 4 La 3.37
Tl  0.5000  0.5000  0.5000  8 Ce 3.37

## Properties
The calculation puts the energy above the most stable polymorph in this dataset at 0.1940 eV/atom. The value obtained for the density of states at the Fermi level is 3.551 states/eV/atom. The energy comes out at -19.1 eV per cell. The space group is Fm-3m (225).

(6)
Compound: LaCe2Tl
Source: Alexandria via LeMat-Bulk
Functional: GGA-PBE
Structure: relaxed

abc: 11.6319 11.6319 11.6319
angles: 17.41 17.41 17.41
Last column: nearest neighbours and their distance in Å.
Element x y z (fractional)
La  0.0000  0.0000  0.0000  6 La 3.52, 6 Ce 3.59-3.66
Ce  0.2474  0.2474  0.2474  3 Tl 3.40, 6 Ce 3.52, 3 La 3.59
Ce  0.4218  0.4218  0.4218  3 Tl 3.41, 6 Ce 3.52, 3 La 3.66
Tl  0.8348  0.8348  0.8348  6 Ce 3.40-3.41, 6 Tl 3.52

## Properties
The calculation puts the energy above the most stable polymorph in this dataset at 0.1998 eV/atom. The value obtained for the density of states at the Fermi level is 2.729 states/eV/atom. The energy comes out at -19.0 eV per cell. The space group is R3m (160).